No. 1
## Sc2Sb2Rh (GGA-PBE)

Data for a relaxed structure of Sc2Sb2Rh.

Structure (POSCAR):
```
Sc2Sb2Rh
1.0
6.983 0.000 0.000
0.000 6.983 0.000
0.000 0.000 4.357
Sc Sb Rh
4 4 2
Direct
0.164 0.336 0.000 Sc
0.336 0.836 0.000 Sc
0.664 0.164 0.000 Sc
0.836 0.664 0.000 Sc
0.148 0.648 0.500 Sb
0.352 0.148 0.500 Sb
0.648 0.852 0.500 Sb
0.852 0.352 0.500 Sb
0.000 0.000 0.500 Rh
0.500 0.500 0.500 Rh
```

DFT total energy, eV for the cell shown: -63.4
DOS at the Fermi energy, states/eV per atom: 0.899

No. 2
## Pr2Ho3Zn2 (GGA-PBE)

Data for a relaxed structure of Pr2Ho3Zn2.

Structure (POSCAR):
```
Pr2Ho3Zn2
1.0
3.645 0.000 0.000
0.000 30.552 0.000
0.000 0.000 3.546
Pr Ho Zn
4 6 4
Direct
0.000 0.198 0.000 Pr
0.000 0.802 0.000 Pr
0.500 0.302 0.000 Pr
0.500 0.698 0.000 Pr
0.000 0.081 0.000 Ho
0.000 0.500 0.500 Ho
0.000 0.919 0.000 Ho
0.500 0.000 0.500 Ho
0.500 0.419 0.000 Ho
0.500 0.581 0.000 Ho
0.000 0.365 0.500 Zn
0.000 0.635 0.500 Zn
0.500 0.135 0.500 Zn
0.500 0.865 0.500 Zn
```

Polymorph energy (0 for the lowest one), eV per formula unit: 0.000
E_form, eV/atom: -0.132
DOS at the Fermi energy, states/eV per atom: 1.096